Here is La2HgSb after structural relaxation from Alexandria. Energies are from GGA-PBE.

Computed properties:
ΔE_f (raw) (eV per atom): -0.74
Spin magnetization (Bohr magnetons per cell): 0.00

CIF file:
```
data_La2HgSb
_space_group_name_H-M_alt 'R 3 m'
_space_group_IT_number 160
_space_group_name_Hall 'R 3 -2"'
_cell_length_a 4.3929
_cell_length_b 4.3929
_cell_length_c 24.8060
_cell_angle_alpha 90.00
_cell_angle_beta 90.00
_cell_angle_gamma 120.00
loop_
_atom_site_label
_atom_site_fract_x
_atom_site_fract_y
_atom_site_fract_z
_atom_site_occupancy
La1 0.0000 0.0000 0.0000 1
La2 0.0000 0.0000 0.1781 1
Hg1 0.0000 0.0000 0.4216 1
Sb1 0.0000 0.0000 0.5895 1
```

=====

Here is SmZnPdAu after structural relaxation from Alexandria. Energies are from GGA-PBE.

Computed properties:
Formation energy from the elements (eV/atom): -0.68
Spin magnetization (Bohr magnetons per cell): 0.00

CIF file:
```
data_SmZnPdAu
_space_group_name_H-M_alt 'C 1 m 1'
_space_group_IT_number 8
_space_group_name_Hall 'C -2y'
_cell_length_a 7.8070
_cell_length_b 4.5303
_cell_length_c 5.3257
_cell_angle_alpha 90.00
_cell_angle_beta 119.40
_cell_angle_gamma 90.00
loop_
_atom_site_label
_atom_site_fract_x
_atom_site_fract_y
_atom_site_fract_z
_atom_site_occupancy
Sm1 0.0000 0.0000 0.0000 1
Zn1 0.4878 0.0000 0.4633 1
Pd1 0.2839 0.5000 0.3517 1
Au1 0.2179 0.0000 0.6526 1
```

=====

Here is KAc6Te8 after structural relaxation from Alexandria. Energies are from GGA-PBE.

Computed properties:
ΔE_f (raw) (eV per atom): -1.49
Spin magnetization (Bohr magnetons per cell): 0.00

CIF file:
```
data_KAc6Te8
_space_group_name_H-M_alt 'F m -3 m'
_space_group_IT_number 225
_space_group_name_Hall '-F 4 2 3'
_cell_length_a 13.3761
_cell_length_b 13.3761
_cell_length_c 13.3761
_cell_angle_alpha 90.00
_cell_angle_beta 90.00
_cell_angle_gamma 90.00
loop_
_atom_site_label
_atom_site_fract_x
_atom_site_fract_y
_atom_site_fract_z
_atom_site_occupancy
K1 0.0000 0.0000 0.0000 1
Ac1 0.0000 0.2500 0.2500 1
Te1 0.0000 0.0000 0.2581 1
Te2 0.2500 0.2500 0.2500 1
```

=====

Here is SrTcRh after structural relaxation from Alexandria. Energies are from GGA-PBE.

Computed properties:
Formation energy from the elements (eV/atom): 0.22
Spin magnetization (Bohr magnetons per cell): 0.00

CIF file:
```
data_SrTcRh
_space_group_name_H-M_alt 'P -1'
_space_group_IT_number 2
_space_group_name_Hall '-P 1'
_cell_length_a 3.1193
_cell_length_b 6.1538
_cell_length_c 7.4356
_cell_angle_alpha 108.45
_cell_angle_beta 90.00
_cell_angle_gamma 104.62
loop_
_atom_site_label
_atom_site_fract_x
_atom_site_fract_y
_atom_site_fract_z
_atom_site_occupancy
Sr1 0.0111 0.0212 0.2555 1
Tc1 0.2742 0.5484 0.8979 1
Rh1 0.2991 0.5973 0.3966 1
```

=====

Here is CeCd5Bi4 after structural relaxation from Alexandria. Energies are from GGA-PBE.

Computed properties:
Formation energy from the elements (eV/atom): -0.01
Spin magnetization (Bohr magnetons per cell): 1.72

CIF file:
```
data_CeCd5Bi4
_space_group_name_H-M_alt 'I m m m'
_space_group_IT_number 71
_space_group_name_Hall '-I 2 2'
_cell_length_a 5.0603
_cell_length_b 10.4514
_cell_length_c 10.8869
_cell_angle_alpha 90.00
_cell_angle_beta 90.00
_cell_angle_gamma 90.00
loop_
_atom_site_label
_atom_site_fract_x
_atom_site_fract_y
_atom_site_fract_z
_atom_site_occupancy
Ce1 0.0000 0.0000 0.0000 1
Cd1 0.0000 0.2799 0.1816 1
Cd2 0.0000 0.5000 0.0000 1
Bi1 0.0000 0.0000 0.3127 1
Bi2 0.0000 0.2964 0.5000 1
```

=====

Here is NaMnMoS2 after structural relaxation from Alexandria. Energies are from GGA-PBE.

Computed properties:
ΔE_f (raw) (eV per atom): 0.04
Spin magnetization (Bohr magnetons per cell): 3.61

CIF file:
```
data_NaMnMoS2
_space_group_name_H-M_alt 'P 4/m m m'
_space_group_IT_number 123
_space_group_name_Hall '-P 4 2'
_cell_length_a 4.7661
_cell_length_b 4.7661
_cell_length_c 4.7844
_cell_angle_alpha 90.00
_cell_angle_beta 90.00
_cell_angle_gamma 90.00
loop_
_atom_site_label
_atom_site_fract_x
_atom_site_fract_y
_atom_site_fract_z
_atom_site_occupancy
Na1 0.0000 0.0000 0.0000 1
Mn1 0.5000 0.5000 0.0000 1
Mo1 0.5000 0.5000 0.5000 1
S1 0.0000 0.5000 0.5000 1
```

=====

Here is ReSiP2 after structural relaxation from Alexandria. Energies are from GGA-PBE.

Computed properties:
ΔE_f (raw) (eV per atom): 0.21
Spin magnetization (Bohr magnetons per cell): 0.00

CIF file:
```
data_ReSiP2
_space_group_name_H-M_alt 'C 1 2/m 1'
_space_group_IT_number 12
_space_group_name_Hall '-C 2y'
_cell_length_a 7.9872
_cell_length_b 3.0990
_cell_length_c 4.6447
_cell_angle_alpha 90.00
_cell_angle_beta 95.82
_cell_angle_gamma 90.00
loop_
_atom_site_label
_atom_site_fract_x
_atom_site_fract_y
_atom_site_fract_z
_atom_site_occupancy
Re1 0.0000 0.0000 0.0000 1
Si1 0.0000 0.5000 0.5000 1
P1 0.2243 0.5000 0.2245 1
```

=====

Here is Rb2Na2Tl3 after structural relaxation from Alexandria. Energies are from GGA-PBE.

Computed properties:
Formation energy from the elements (eV/atom): -0.06
Spin magnetization (Bohr magnetons per cell): 0.00

CIF file:
```
data_Rb2Na2Tl3
_space_group_name_H-M_alt 'P -1'
_space_group_IT_number 2
_space_group_name_Hall '-P 1'
_cell_length_a 5.7811
_cell_length_b 7.3092
_cell_length_c 8.1539
_cell_angle_alpha 65.57
_cell_angle_beta 69.43
_cell_angle_gamma 67.09
loop_
_atom_site_label
_atom_site_fract_x
_atom_site_fract_y
_atom_site_fract_z
_atom_site_occupancy
Rb1 0.1640 0.4485 0.2242 1
Na1 0.1351 0.9914 0.7387 1
Tl1 0.4164 0.7523 0.4100 1
Tl2 0.5000 0.0000 0.0000 1
```

=====

Here is LuTiSnPd after structural relaxation from Alexandria. Energies are from GGA-PBE.

Computed properties:
Formation energy from the elements (eV/atom): -0.49
Spin magnetization (Bohr magnetons per cell): 5.57

CIF file:
```
data_LuTiSnPd
_space_group_name_H-M_alt 'F -4 3 m'
_space_group_IT_number 216
_space_group_name_Hall 'F -4 2 3'
_cell_length_a 6.8785
_cell_length_b 6.8785
_cell_length_c 6.8785
_cell_angle_alpha 90.00
_cell_angle_beta 90.00
_cell_angle_gamma 90.00
loop_
_atom_site_label
_atom_site_fract_x
_atom_site_fract_y
_atom_site_fract_z
_atom_site_occupancy
Lu1 0.0000 0.0000 0.0000 1
Ti1 0.0000 0.0000 0.5000 1
Sn1 0.2500 0.2500 0.7500 1
Pd1 0.2500 0.2500 0.2500 1
```

=====

Here is Rb2MnCuSe4 after structural relaxation from Alexandria. Energies are from GGA-PBE.

Computed properties:
ΔE_f (raw) (eV per atom): -0.72
Spin magnetization (Bohr magnetons per cell): 15.94

CIF file:
```
data_Rb2MnCuSe4
_space_group_name_H-M_alt 'F d d d'
_space_group_IT_number 70
_cell_length_a 5.8125
_cell_length_b 13.8367
_cell_length_c 24.1907
_cell_angle_alpha 90.00
_cell_angle_beta 90.00
_cell_angle_gamma 90.00
loop_
_space_group_symop_operation_xyz
'x,y,z'
'-x,-y,-z'
'-x+1/4,-y+1/4,z'
'x+1/4,y+1/4,-z'
'x,-y+1/4,-z+1/4'
'-x,y+1/4,z+1/4'
'-x+1/4,y,-z+1/4'
'x+1/4,-y,z+1/4'
'x,y+1/2,z+1/2'
'-x,-y+1/2,-z+1/2'
'-x+1/4,-y+3/4,z+1/2'
'x+1/4,y+3/4,-z+1/2'
'x,-y+3/4,-z+3/4'
'-x,y+3/4,z+3/4'
'-x+1/4,y+1/2,-z+3/4'
'x+1/4,-y+1/2,z+3/4'
'x+1/2,y,z+1/2'
'-x+1/2,-y,-z+1/2'
'-x+3/4,-y+1/4,z+1/2'
'x+3/4,y+1/4,-z+1/2'
'x+1/2,-y+1/4,-z+3/4'
'-x+1/2,y+1/4,z+3/4'
'-x+3/4,y,-z+3/4'
'x+3/4,-y,z+3/4'
'x+1/2,y+1/2,z'
'-x+1/2,-y+1/2,-z'
'-x+3/4,-y+3/4,z'
'x+3/4,y+3/4,-z'
'x+1/2,-y+3/4,-z+1/4'
'-x+1/2,y+3/4,z+1/4'
'-x+3/4,y+1/2,-z+1/4'
'x+3/4,-y+1/2,z+1/4'
loop_
_atom_site_label
_atom_site_fract_x
_atom_site_fract_y
_atom_site_fract_z
_atom_site_occupancy
Rb1 0.1250 0.1250 0.3057 1
Mn1 0.1250 0.1250 0.1250 1
Cu1 0.1250 0.1250 0.6250 1
Se1 0.1061 0.2806 0.4292 1
```

=====

Here is AcCdHg4 after structural relaxation from Alexandria. Energies are from GGA-PBE.

Computed properties:
Formation energy from the elements (eV/atom): -0.17
Spin magnetization (Bohr magnetons per cell): 0.00

CIF file:
```
data_AcCdHg4
_space_group_name_H-M_alt 'F -4 3 m'
_space_group_IT_number 216
_space_group_name_Hall 'F -4 2 3'
_cell_length_a 8.7127
_cell_length_b 8.7127
_cell_length_c 8.7127
_cell_angle_alpha 90.00
_cell_angle_beta 90.00
_cell_angle_gamma 90.00
loop_
_atom_site_label
_atom_site_fract_x
_atom_site_fract_y
_atom_site_fract_z
_atom_site_occupancy
Ac1 0.0000 0.0000 0.0000 1
Cd1 0.2500 0.2500 0.7500 1
Hg1 0.1246 0.1246 0.3754 1
```

=====

Here is Sn2Ge2Pt3 after structural relaxation from Alexandria. Energies are from GGA-PBE.

Computed properties:
Formation energy from the elements (eV/atom): -0.44
Spin magnetization (Bohr magnetons per cell): 0.00

CIF file:
```
data_Sn2Ge2Pt3
_space_group_name_H-M_alt 'C 1 2/m 1'
_space_group_IT_number 12
_space_group_name_Hall '-C 2y'
_cell_length_a 12.8160
_cell_length_b 3.9798
_cell_length_c 6.3527
_cell_angle_alpha 90.00
_cell_angle_beta 117.54
_cell_angle_gamma 90.00
loop_
_atom_site_label
_atom_site_fract_x
_atom_site_fract_y
_atom_site_fract_z
_atom_site_occupancy
Sn1 0.1218 0.0000 0.4906 1
Ge1 0.1134 0.5000 0.9578 1
Pt1 0.0000 0.0000 0.0000 1
Pt2 0.2485 0.0000 0.2113 1
```

=====

Which value of spin magnetization does entry 12 give? 0.00 Bohr magnetons per cell

=====

Which formula does entry 2 have? SmZnPdAu